1.
# GGA-PBE Sm2Cu5Ni5, optimized geometry
# * V: 174.0 Å³ per cell
# * E_tot: -61.946 eV for the cell shown
data_Sm2Cu5Ni5
_cell_length_a 3.9791
_cell_length_b 5.0333
_cell_length_c 8.6897
_cell_angle_alpha 90.00
_cell_angle_beta 90.00
_cell_angle_gamma 90.00
_symmetry_space_group_name_H-M 'P m m m'
_symmetry_Int_Tables_number 47
loop_
_symmetry_equiv_pos_as_xyz
'x,y,z'
'-x,-y,-z'
'-x,-y,z'
'x,y,-z'
'x,-y,-z'
'-x,y,z'
'-x,y,-z'
'x,-y,z'
loop_
_atom_site_label
_atom_site_type_symbol
_atom_site_fract_x
_atom_site_fract_y
_atom_site_fract_z
_atom_site_occupancy
Sm1 Sm 0.0000 0.0000 0.0000 1
Sm2 Sm 0.0000 0.5000 0.5000 1
Cu1 Cu 0.0000 0.0000 0.3302 1
Cu2 Cu 0.0000 0.5000 0.1673 1
Cu3 Cu 0.5000 0.0000 0.5000 1
Ni1 Ni 0.5000 0.2506 0.2483 1
Ni2 Ni 0.5000 0.5000 0.0000 1

---

2.
# GGA-PBE HoNp4, optimized geometry
# * V: 159.7 Å³ per cell
# * E_tot: -47.108 eV for the cell shown
data_HoNp4
_cell_length_a 5.4249
_cell_length_b 5.4249
_cell_length_c 5.4249
_cell_angle_alpha 90.00
_cell_angle_beta 90.00
_cell_angle_gamma 90.00
_symmetry_space_group_name_H-M 'P m -3 m'
_symmetry_Int_Tables_number 221
_symmetry_space_group_name_Hall '-P 4 2 3'
loop_
_atom_site_label
_atom_site_type_symbol
_atom_site_fract_x
_atom_site_fract_y
_atom_site_fract_z
_atom_site_occupancy
Ho1 Ho 0.0000 0.0000 0.0000 1
Np1 Np 0.0000 0.0000 0.5000 1
Np2 Np 0.5000 0.5000 0.5000 1